*P*
A plane-wave DFT calculation with PBE was carried out for Pr2SmGe2 after structural relaxation.

Cell: 4.426 7.858 7.858 Å, 90.00 90.00 90.00°
Fractional coordinates of all 10 atoms:
Pr  0.500  0.175  0.675
Pr  0.500  0.675  0.825
Pr  0.500  0.825  0.325
Pr  0.500  0.325  0.175
Sm  0.000  0.000  0.000
Sm  0.000  0.500  0.500
Ge  0.000  0.380  0.880
Ge  0.000  0.880  0.620
Ge  0.000  0.620  0.120
Ge  0.000  0.120  0.380

=====

*Q*
A plane-wave DFT calculation with PBE was carried out for Pr2SmGe2 after structural relaxation.

Cell: 4.496 6.704 10.159 Å, 77.96 77.21 70.41°
Fractional coordinates of all 10 atoms:
Pr  0.320  0.271  0.088
Pr  0.485  0.343  0.687
Pr  0.680  0.729  0.912
Pr  0.515  0.657  0.313
Sm  0.780  0.080  0.360
Sm  0.220  0.920  0.640
Ge  0.977  0.152  0.895
Ge  0.115  0.332  0.439
Ge  0.023  0.848  0.105
Ge  0.885  0.668  0.561

=====

Relative to the most stable structure, the computed energies are *P* 0.0; *Q* 6.8, all in kJ/mol of atoms.